This record from the Alexandria database describes a relaxed structure of ThZnGa2Ni5. The functional is PBE.

Cell and atoms, written as POSCAR:
```
ThZnGa2Ni5
1.0
3.9177 0.0000 0.0000
0.0000 3.9177 0.0000
0.0000 0.0000 8.9918
Th Zn Ga Ni
1 1 2 5
Direct
0.0000 0.0000 0.0000
0.0000 0.0000 0.5000
0.5000 0.5000 0.3670
0.5000 0.5000 0.6330
0.0000 0.5000 0.2175
0.0000 0.5000 0.7825
0.5000 0.0000 0.2175
0.5000 0.0000 0.7825
0.5000 0.5000 0.0000
```

Calculated values
* space-group type: No. 123
* formation energy from the elements: -1.26 eV/f.u.
* magnetization: 0.00 μB/f.u.
* total energy: -4.990 eV/atom
* crystal system: tetragonal

---

This record from the Alexandria database describes a relaxed structure of ThZnGaNi3. The functional is PBE.

Cell and atoms, written as POSCAR:
```
ThZnGaNi3
1.0
2.9679 -5.9615 0.0000
2.9679 5.9615 0.0000
0.0000 0.0000 5.6007
Th Zn Ga Ni
2 2 2 6
Direct
0.1976 0.8024 0.7500
0.8024 0.1976 0.2500
0.1381 0.8619 0.2500
0.8619 0.1381 0.7500
0.4482 0.5518 0.7500
0.5518 0.4482 0.2500
0.2025 0.2025 0.0000
0.2025 0.2025 0.5000
0.3439 0.6561 0.2500
0.6561 0.3439 0.7500
0.7975 0.7975 0.0000
0.7975 0.7975 0.5000
```

Calculated values
* space-group type: No. 63
* formation energy from the elements: -1.36 eV/f.u.
* magnetization: 0.00 μB/f.u.
* total energy: -5.071 eV/atom
* crystal system: orthorhombic

---

This record from the Alexandria database describes a relaxed structure of Th2ZnGa4Ni3. The functional is PBE.

Cell and atoms, written as POSCAR:
```
Th2ZnGa4Ni3
1.0
4.1895 0.0000 0.0000
0.0000 4.1895 0.0000
0.0000 0.0000 10.0524
Th Zn Ga Ni
2 1 4 3
Direct
0.0000 0.5000 0.2470
0.5000 0.0000 0.7530
0.0000 0.0000 0.5000
0.0000 0.0000 0.0000
0.0000 0.5000 0.6371
0.5000 0.0000 0.3629
0.5000 0.5000 0.0000
0.0000 0.5000 0.8727
0.5000 0.0000 0.1273
0.5000 0.5000 0.5000
```

Calculated values
* space-group type: No. 115
* formation energy from the elements: -5.56 eV/f.u.
* magnetization: 0.00 μB/f.u.
* total energy: -5.113 eV/atom
* crystal system: tetragonal

---

This record from the Alexandria database describes a relaxed structure of Th3ZnGa2Ni6. The functional is PBE.

Cell and atoms, written as POSCAR:
```
Th3ZnGa2Ni6
1.0
5.3539 0.0000 0.0000
-2.6770 4.6367 0.0000
0.0000 0.0000 8.6683
Th Zn Ga Ni
3 1 2 6
Direct
0.0000 0.0000 0.0000
0.3333 0.6667 0.6510
0.6667 0.3333 0.3490
0.0000 0.0000 0.5000
0.3333 0.6667 0.0556
0.6667 0.3333 0.9444
0.1745 0.3490 0.2886
0.1745 0.8255 0.2886
0.3490 0.1745 0.7114
0.6510 0.8255 0.2886
0.8255 0.1745 0.7114
0.8255 0.6510 0.7114
```

Calculated values
* space-group type: No. 164
* formation energy from the elements: -4.44 eV/f.u.
* magnetization: 0.00 μB/f.u.
* total energy: -5.727 eV/atom
* crystal system: trigonal

---

This record from the Alexandria database describes a relaxed structure of ThZnGa2Ni4. The functional is PBE.

Cell and atoms, written as POSCAR:
```
ThZnGa2Ni4
1.0
2.0383 1.1768 8.3417
-2.0383 1.1768 8.3417
0.0000 -2.3536 8.3417
Th Zn Ga Ni
1 1 2 4
Direct
0.0000 0.0000 0.0000
0.5000 0.5000 0.5000
0.2367 0.2367 0.2367
0.7633 0.7633 0.7633
0.1316 0.1316 0.1316
0.4033 0.4033 0.4033
0.5967 0.5967 0.5967
0.8684 0.8684 0.8684
```

Calculated values
* space-group type: No. 166
* formation energy from the elements: -3.39 eV/f.u.
* magnetization: 0.00 μB/f.u.
* total energy: -5.158 eV/atom
* crystal system: trigonal

---

This record from the Alexandria database describes a relaxed structure of Th2Zn2GaNi5. The functional is PBE.

Cell and atoms, written as POSCAR:
```
Th2Zn2GaNi5
1.0
9.7882 0.0000 0.0000
0.0000 9.7882 0.0000
0.0000 0.0000 3.3680
Th Zn Ga Ni
4 4 2 10
Direct
0.1781 0.3219 0.0000
0.3219 0.8219 0.0000
0.6781 0.1781 0.0000
0.8219 0.6781 0.0000
0.1210 0.6210 0.0000
0.3790 0.1210 0.0000
0.6210 0.8790 0.0000
0.8790 0.3790 0.0000
0.0000 0.0000 0.0000
0.5000 0.5000 0.0000
0.0000 0.5000 0.5000
0.0495 0.8043 0.5000
0.1957 0.0495 0.5000
0.3043 0.5495 0.5000
0.4505 0.3043 0.5000
0.5000 0.0000 0.5000
0.5495 0.6957 0.5000
0.6957 0.4505 0.5000
0.8043 0.9505 0.5000
0.9505 0.1957 0.5000
```

Calculated values
* space-group type: No. 127
* formation energy from the elements: -2.28 eV/f.u.
* magnetization: 0.00 μB/f.u.
* total energy: -5.161 eV/atom
* crystal system: tetragonal

---

This record from the Alexandria database describes a relaxed structure of ThZnGaNi. The functional is PBE.

Cell and atoms, written as POSCAR:
```
ThZnGaNi
1.0
0.0000 3.3442 3.3442
3.3442 0.0000 3.3442
3.3442 3.3442 0.0000
Th Zn Ga Ni
1 1 1 1
Direct
0.0000 0.0000 0.0000
0.7500 0.7500 0.7500
0.5000 0.5000 0.5000
0.2500 0.2500 0.2500
```

Calculated values
* space-group type: No. 216
* formation energy from the elements: -1.26 eV/f.u.
* magnetization: 0.00 μB/f.u.
* total energy: -4.691 eV/atom
* crystal system: cubic

---

This record from the Alexandria database describes a relaxed structure of ThZn2GaNi. The functional is PBE.

Cell and atoms, written as POSCAR:
```
ThZn2GaNi
1.0
-1.9591 2.0577 5.6252
1.9591 -2.0577 5.6252
1.9591 2.0577 -5.6252
Th Zn Ga Ni
1 2 1 1
Direct
0.0000 0.0000 0.0000
0.6215 0.6215 0.0000
0.7688 0.2688 0.5000
0.2656 0.7656 0.5000
0.4056 0.4056 0.0000
```

Calculated values
* space-group type: No. 44
* formation energy from the elements: -1.96 eV/f.u.
* magnetization: 0.00 μB/f.u.
* total energy: -4.148 eV/atom
* crystal system: orthorhombic